Below is a relaxed ErPaSeS crystal, with properties calculated at the PBE-GGA level.

POSCAR file:
```
ErPaSeS
1.0
3.723 0.000 0.000
-1.861 3.224 0.000
-1.861 -1.074 7.371
Er Pa Se S
1 1 1 1
Direct
0.483 0.140 0.638
0.123 0.960 0.098
0.974 0.385 0.375
0.297 0.547 0.859
```

Total magnetization in μB/f.u.: 0.2
Uncorrected energy in eV per atom: -6.964